Record 1
Material: RbV2Au
Method: DFT, PBE
State: relaxed

D(E_F): 2.48 states/eV per atom
Uncorrected energy: -17.369 eV per formula unit
Crystal system: cubic
Volume: 359.3 Å³/cell

```
data_RbV2Au
_chemical_formula_sum 'Rb4 V8 Au4'
_space_group_name_H-M_alt 'F m -3 m'
_space_group_IT_number 225
_space_group_name_Hall '-F 4 2 3'
_cell_length_a 7.1092
_cell_length_b 7.1092
_cell_length_c 7.1092
_cell_angle_alpha 90.00
_cell_angle_beta 90.00
_cell_angle_gamma 90.00
loop_
_atom_site_label
_atom_site_type_symbol
_atom_site_fract_x
_atom_site_fract_y
_atom_site_fract_z
Rb1 Rb 0.0000 0.0000 0.0000
V1 V 0.2500 0.2500 0.2500
Au1 Au 0.0000 0.0000 0.5000
```

---

Record 2
Material: RbVAu3
Method: DFT, PBE
State: relaxed

D(E_F): 2.23 states/eV per atom
Uncorrected energy: -11.731 eV per formula unit
Crystal system: cubic
Volume: 190.2 Å³/cell

```
data_RbVAu3
_chemical_formula_sum 'Rb1 V1 Au3'
_space_group_name_H-M_alt 'P m -3 m'
_space_group_IT_number 221
_space_group_name_Hall '-P 4 2 3'
_cell_length_a 5.7506
_cell_length_b 5.7506
_cell_length_c 5.7506
_cell_angle_alpha 90.00
_cell_angle_beta 90.00
_cell_angle_gamma 90.00
loop_
_atom_site_label
_atom_site_type_symbol
_atom_site_fract_x
_atom_site_fract_y
_atom_site_fract_z
Rb1 Rb 0.0000 0.0000 0.0000
V1 V 0.5000 0.5000 0.5000
Au1 Au 0.0000 0.0000 0.5000
```

---

Record 3
Material: Rb3VAu
Method: DFT, PBE
State: relaxed

D(E_F): 1.83 states/eV per atom
Uncorrected energy: -11.880 eV per formula unit
Crystal system: cubic
Volume: 286.9 Å³/cell

```
data_Rb3VAu
_chemical_formula_sum 'Rb3 V1 Au1'
_space_group_name_H-M_alt 'P m -3 m'
_space_group_IT_number 221
_space_group_name_Hall '-P 4 2 3'
_cell_length_a 6.5955
_cell_length_b 6.5955
_cell_length_c 6.5955
_cell_angle_alpha 90.00
_cell_angle_beta 90.00
_cell_angle_gamma 90.00
loop_
_atom_site_label
_atom_site_type_symbol
_atom_site_fract_x
_atom_site_fract_y
_atom_site_fract_z
Rb1 Rb 0.0000 0.0000 0.5000
V1 V 0.5000 0.5000 0.5000
Au1 Au 0.0000 0.0000 0.0000
```

---

Record 4
Material: RbVAu2
Method: DFT, PBE
State: relaxed

D(E_F): 1.50 states/eV per atom
Uncorrected energy: -14.360 eV per formula unit
Crystal system: cubic
Volume: 388.2 Å³/cell

```
data_RbVAu2
_chemical_formula_sum 'Rb4 V4 Au8'
_space_group_name_H-M_alt 'F m -3 m'
_space_group_IT_number 225
_space_group_name_Hall '-F 4 2 3'
_cell_length_a 7.2950
_cell_length_b 7.2950
_cell_length_c 7.2950
_cell_angle_alpha 90.00
_cell_angle_beta 90.00
_cell_angle_gamma 90.00
loop_
_atom_site_label
_atom_site_type_symbol
_atom_site_fract_x
_atom_site_fract_y
_atom_site_fract_z
Rb1 Rb 0.0000 0.0000 0.0000
V1 V 0.0000 0.0000 0.5000
Au1 Au 0.2500 0.2500 0.2500
```

---

Record 5
Material: RbWAu2
Method: DFT, PBE
State: relaxed

D(E_F): 0.46 states/eV per atom
Uncorrected energy: -16.467 eV per formula unit
Crystal system: tetragonal
Volume: 543.0 Å³/cell

```
data_RbWAu2
_chemical_formula_sum 'Rb4 W4 Au8'
_space_group_name_H-M_alt 'I 41/a m d'
_space_group_IT_number 141
_cell_length_a 5.4747
_cell_length_b 5.4747
_cell_length_c 18.1179
_cell_angle_alpha 90.00
_cell_angle_beta 90.00
_cell_angle_gamma 90.00
loop_
_space_group_symop_operation_xyz
'x,y,z'
'-x,-y,-z'
'-y+1/4,x+3/4,z+1/4'
'y+1/4,-x+3/4,-z+1/4'
'-x+1/2,-y,z+1/2'
'x+1/2,y,-z+1/2'
'y+1/4,-x+1/4,z+3/4'
'-y+1/4,x+1/4,-z+3/4'
'x,-y,-z'
'-x,y,z'
'-y+1/4,-x+1/4,-z+3/4'
'y+1/4,x+1/4,z+3/4'
'-x+1/2,y,-z+1/2'
'x+1/2,-y,z+1/2'
'y+1/4,x+3/4,-z+1/4'
'-y+1/4,-x+3/4,z+1/4'
'x+1/2,y+1/2,z+1/2'
'-x+1/2,-y+1/2,-z+1/2'
'-y+3/4,x+1/4,z+3/4'
'y+3/4,-x+1/4,-z+3/4'
'-x,-y+1/2,z'
'x,y+1/2,-z'
'y+3/4,-x+3/4,z+1/4'
'-y+3/4,x+3/4,-z+1/4'
'x+1/2,-y+1/2,-z+1/2'
'-x+1/2,y+1/2,z+1/2'
'-y+3/4,-x+3/4,-z+1/4'
'y+3/4,x+3/4,z+1/4'
'-x,y+1/2,-z'
'x,-y+1/2,z'
'y+3/4,x+1/4,-z+3/4'
'-y+3/4,-x+1/4,z+3/4'
loop_
_atom_site_label
_atom_site_type_symbol
_atom_site_fract_x
_atom_site_fract_y
_atom_site_fract_z
Rb1 Rb 0.0000 0.2500 0.3750
W1 W 0.0000 0.2500 0.8750
Au1 Au 0.0000 0.0000 0.0000
```

---

Record 6
Material: RbWAu
Method: DFT, PBE
State: relaxed

D(E_F): 0.71 states/eV per atom
Uncorrected energy: -14.832 eV per formula unit
Crystal system: orthorhombic
Volume: 344.4 Å³/cell

```
data_RbWAu
_chemical_formula_sum 'Rb4 W4 Au4'
_space_group_name_H-M_alt 'P n m a'
_space_group_IT_number 62
_cell_length_a 13.3365
_cell_length_b 5.2542
_cell_length_c 4.9147
_cell_angle_alpha 90.00
_cell_angle_beta 90.00
_cell_angle_gamma 90.00
loop_
_space_group_symop_operation_xyz
'x,y,z'
'-x,-y,-z'
'-x+1/2,-y,z+1/2'
'x+1/2,y,-z+1/2'
'x+1/2,-y+1/2,-z+1/2'
'-x+1/2,y+1/2,z+1/2'
'-x,y+1/2,-z'
'x,-y+1/2,z'
loop_
_atom_site_label
_atom_site_type_symbol
_atom_site_fract_x
_atom_site_fract_y
_atom_site_fract_z
Rb1 Rb 0.2341 0.2500 0.0502
W1 W 0.0025 0.2500 0.5012
Au1 Au 0.0000 0.0000 0.0000
```

---

Record 7
Material: RbWAu2
Method: DFT, PBE
State: relaxed

D(E_F): 0.50 states/eV per atom
Uncorrected energy: -15.618 eV per formula unit
Crystal system: cubic
Volume: 379.5 Å³/cell

```
data_RbWAu2
_chemical_formula_sum 'Rb4 W4 Au8'
_space_group_name_H-M_alt 'F m -3 m'
_space_group_IT_number 225
_space_group_name_Hall '-F 4 2 3'
_cell_length_a 7.2399
_cell_length_b 7.2399
_cell_length_c 7.2399
_cell_angle_alpha 90.00
_cell_angle_beta 90.00
_cell_angle_gamma 90.00
loop_
_atom_site_label
_atom_site_type_symbol
_atom_site_fract_x
_atom_site_fract_y
_atom_site_fract_z
Rb1 Rb 0.0000 0.0000 0.0000
W1 W 0.0000 0.0000 0.5000
Au1 Au 0.2500 0.2500 0.2500
```

---

Record 8
Material: RbW2Au
Method: DFT, PBE
State: relaxed

D(E_F): 1.11 states/eV per atom
Uncorrected energy: -21.440 eV per formula unit
Crystal system: cubic
Volume: 299.4 Å³/cell

```
data_RbW2Au
_chemical_formula_sum 'Rb4 W8 Au4'
_space_group_name_H-M_alt 'F m -3 m'
_space_group_IT_number 225
_space_group_name_Hall '-F 4 2 3'
_cell_length_a 6.6895
_cell_length_b 6.6895
_cell_length_c 6.6895
_cell_angle_alpha 90.00
_cell_angle_beta 90.00
_cell_angle_gamma 90.00
loop_
_atom_site_label
_atom_site_type_symbol
_atom_site_fract_x
_atom_site_fract_y
_atom_site_fract_z
Rb1 Rb 0.0000 0.0000 0.0000
W1 W 0.2500 0.2500 0.2500
Au1 Au 0.0000 0.0000 0.5000
```

---

Record 9
Material: RbWAu
Method: DFT, PBE
State: relaxed

D(E_F): 0.77 states/eV per atom
Uncorrected energy: -15.058 eV per formula unit
Crystal system: orthorhombic
Volume: 351.3 Å³/cell

```
data_RbWAu
_chemical_formula_sum 'Rb4 W4 Au4'
_space_group_name_H-M_alt 'P n m a'
_space_group_IT_number 62
_cell_length_a 10.7497
_cell_length_b 3.1720
_cell_length_c 10.3041
_cell_angle_alpha 90.00
_cell_angle_beta 90.00
_cell_angle_gamma 90.00
loop_
_space_group_symop_operation_xyz
'x,y,z'
'-x,-y,-z'
'-x+1/2,-y,z+1/2'
'x+1/2,y,-z+1/2'
'x+1/2,-y+1/2,-z+1/2'
'-x+1/2,y+1/2,z+1/2'
'-x,y+1/2,-z'
'x,-y+1/2,z'
loop_
_atom_site_label
_atom_site_type_symbol
_atom_site_fract_x
_atom_site_fract_y
_atom_site_fract_z
Rb1 Rb 0.1734 0.2500 0.0844
W1 W 0.0346 0.2500 0.4200
Au1 Au 0.0902 0.2500 0.7578
```

---

Record 10
Material: RbWAu
Method: DFT, PBE
State: relaxed

D(E_F): 0.43 states/eV per atom
Uncorrected energy: -14.725 eV per formula unit
Crystal system: orthorhombic
Volume: 325.9 Å³/cell

```
data_RbWAu
_chemical_formula_sum 'Rb4 W4 Au4'
_space_group_name_H-M_alt 'P n m a'
_space_group_IT_number 62
_cell_length_a 8.1962
_cell_length_b 4.2193
_cell_length_c 9.4233
_cell_angle_alpha 90.00
_cell_angle_beta 90.00
_cell_angle_gamma 90.00
loop_
_space_group_symop_operation_xyz
'x,y,z'
'-x,-y,-z'
'-x+1/2,-y,z+1/2'
'x+1/2,y,-z+1/2'
'x+1/2,-y+1/2,-z+1/2'
'-x+1/2,y+1/2,z+1/2'
'-x,y+1/2,-z'
'x,-y+1/2,z'
loop_
_atom_site_label
_atom_site_type_symbol
_atom_site_fract_x
_atom_site_fract_y
_atom_site_fract_z
Rb1 Rb 0.0661 0.2500 0.1309
W1 W 0.0328 0.2500 0.5651
Au1 Au 0.2372 0.2500 0.8058
```

---

Record 11
Material: RbWAu3
Method: DFT, PBE
State: relaxed

D(E_F): 0.42 states/eV per atom
Uncorrected energy: -12.110 eV per formula unit
Crystal system: cubic
Volume: 174.9 Å³/cell

```
data_RbWAu3
_chemical_formula_sum 'Rb1 W1 Au3'
_space_group_name_H-M_alt 'P m -3 m'
_space_group_IT_number 221
_space_group_name_Hall '-P 4 2 3'
_cell_length_a 5.5927
_cell_length_b 5.5927
_cell_length_c 5.5927
_cell_angle_alpha 90.00
_cell_angle_beta 90.00
_cell_angle_gamma 90.00
loop_
_atom_site_label
_atom_site_type_symbol
_atom_site_fract_x
_atom_site_fract_y
_atom_site_fract_z
Rb1 Rb 0.0000 0.0000 0.0000
W1 W 0.5000 0.5000 0.5000
Au1 Au 0.0000 0.0000 0.5000
```

---

Record 12
Material: RbW3Au
Method: DFT, PBE
State: relaxed

D(E_F): 0.80 states/eV per atom
Uncorrected energy: -23.917 eV per formula unit
Crystal system: cubic
Volume: 101.6 Å³/cell

```
data_RbW3Au
_chemical_formula_sum 'Rb1 W3 Au1'
_space_group_name_H-M_alt 'P m -3 m'
_space_group_IT_number 221
_space_group_name_Hall '-P 4 2 3'
_cell_length_a 4.6657
_cell_length_b 4.6657
_cell_length_c 4.6657
_cell_angle_alpha 90.00
_cell_angle_beta 90.00
_cell_angle_gamma 90.00
loop_
_atom_site_label
_atom_site_type_symbol
_atom_site_fract_x
_atom_site_fract_y
_atom_site_fract_z
Rb1 Rb 0.0000 0.0000 0.0000
W1 W 0.0000 0.0000 0.5000
Au1 Au 0.5000 0.5000 0.5000
```